DFT (GGA+U) results for an optimized crystal structure of SrLiMnF6.

a b c (Å): 5.2332 5.2369 5.2369
angles (deg): 120.00 90.00 90.00
Site moments in Bohr magnetons follow the coordinates.
Positions (direct):
Sr1 0.0000 0.3333 0.6667  0.00
Li1 0.5000 0.0000 0.0000  0.00
Mn1 0.5000 0.6667 0.3333  1.94
F1 0.7078 0.6887 0.6464  0.00
F2 0.7078 0.3536 0.0423  0.00
F3 0.7078 0.9577 0.3113  0.00
F4 0.2922 0.3536 0.3113  0.00
F5 0.2922 0.6887 0.0423  0.00
F6 0.2922 0.9577 0.6464  0.00

Output
Fermi-level density of states ... 0.7556 states/eV per atom
Electronic total energy ... -5.342 eV per atom